*i*
VASP calculation (PBE) on a geometry-optimized AcDyPt2 structure. Values from VASP.

Properties
Theoretical density   11.96 g cm⁻³
Volume   27.07 Å³ per atom
Symmetry   R3m, No. 160

Quantum ESPRESSO input file:
```
&SYSTEM
  ibrav = 0, nat = 12, ntyp = 3
/
ATOMIC_SPECIES
Ac 227.00 Ac.upf
Dy 162.50 Dy.upf
Pt 195.08 Pt.upf
ATOMIC_POSITIONS crystal
Ac 0.000 0.000 0.000
Ac 0.333 0.667 0.667
Ac 0.667 0.333 0.333
Dy 0.000 0.000 0.173
Dy 0.333 0.667 0.840
Dy 0.667 0.333 0.506
Pt 0.000 0.000 0.579
Pt 0.000 0.000 0.761
Pt 0.333 0.667 0.245
Pt 0.333 0.667 0.428
Pt 0.667 0.333 0.094
Pt 0.667 0.333 0.912
CELL_PARAMETERS angstrom
4.170 0.000 0.000
-2.085 3.611 0.000
0.000 0.000 21.571
```

---

*ii*
VASP calculation (PBE) on a geometry-optimized AcDyPt2 structure. Values from VASP.

Properties
Theoretical density   13.31 g cm⁻³
Volume   24.31 Å³ per atom
Symmetry   Fm-3m, No. 225

Quantum ESPRESSO input file:
```
&SYSTEM
  ibrav = 0, nat = 16, ntyp = 3
/
ATOMIC_SPECIES
Ac 227.00 Ac.upf
Dy 162.50 Dy.upf
Pt 195.08 Pt.upf
ATOMIC_POSITIONS crystal
Ac 0.000 0.000 0.000
Ac 0.000 0.500 0.500
Ac 0.500 0.000 0.500
Ac 0.500 0.500 0.000
Dy 0.000 0.000 0.500
Dy 0.000 0.500 0.000
Dy 0.500 0.000 0.000
Dy 0.500 0.500 0.500
Pt 0.250 0.250 0.250
Pt 0.250 0.250 0.750
Pt 0.250 0.750 0.250
Pt 0.250 0.750 0.750
Pt 0.750 0.250 0.250
Pt 0.750 0.250 0.750
Pt 0.750 0.750 0.250
Pt 0.750 0.750 0.750
CELL_PARAMETERS angstrom
7.300 0.000 0.000
0.000 7.300 0.000
0.000 0.000 7.300
```

---

*iii*
VASP calculation (PBE) on a geometry-optimized AcDyPt2 structure. Values from VASP.

Properties
Theoretical density   12.90 g cm⁻³
Volume   25.09 Å³ per atom
Symmetry   Amm2, No. 38

Quantum ESPRESSO input file:
```
&SYSTEM
  ibrav = 0, nat = 8, ntyp = 3
/
ATOMIC_SPECIES
Ac 227.00 Ac.upf
Dy 162.50 Dy.upf
Pt 195.08 Pt.upf
ATOMIC_POSITIONS crystal
Ac 0.000 0.000 0.000
Ac 0.000 0.500 0.500
Dy 0.500 0.000 0.728
Dy 0.500 0.500 0.228
Pt 0.000 0.000 0.271
Pt 0.000 0.500 0.771
Pt 0.500 0.000 0.448
Pt 0.500 0.500 0.948
CELL_PARAMETERS angstrom
4.601 0.000 0.000
0.000 3.954 0.000
0.000 0.000 11.033
```

---

Most stable to least stable, the ends of the list are *iii* and *ii*.

---

*i*
VASP calculation (PBE) on a geometry-optimized AcDyPt2 structure. Values from VASP.

Properties
Theoretical density   12.76 g cm⁻³
Volume   25.38 Å³ per atom
Symmetry   P2_1/m, No. 11

Quantum ESPRESSO input file:
```
&SYSTEM
  ibrav = 0, nat = 8, ntyp = 3
/
ATOMIC_SPECIES
Ac 227.00 Ac.upf
Dy 162.50 Dy.upf
Pt 195.08 Pt.upf
ATOMIC_POSITIONS crystal
Ac 0.210 0.250 0.378
Ac 0.790 0.750 0.622
Dy 0.288 0.250 0.909
Dy 0.712 0.750 0.091
Pt 0.183 0.750 0.080
Pt 0.330 0.750 0.702
Pt 0.670 0.250 0.298
Pt 0.817 0.250 0.920
CELL_PARAMETERS angstrom
6.156 0.000 0.000
0.000 4.754 0.000
-2.977 0.000 6.936
```

---

*ii*
VASP calculation (PBE) on a geometry-optimized AcDyPt2 structure. Values from VASP.

Properties
Theoretical density   12.13 g cm⁻³
Volume   26.67 Å³ per atom
Symmetry   R-3m, No. 166

Quantum ESPRESSO input file:
```
&SYSTEM
  ibrav = 0, nat = 12, ntyp = 3
/
ATOMIC_SPECIES
Ac 227.00 Ac.upf
Dy 162.50 Dy.upf
Pt 195.08 Pt.upf
ATOMIC_POSITIONS crystal
Ac 0.000 0.000 0.000
Ac 0.333 0.667 0.667
Ac 0.667 0.333 0.333
Dy 0.000 0.000 0.500
Dy 0.333 0.667 0.167
Dy 0.667 0.333 0.833
Pt 0.000 0.000 0.242
Pt 0.000 0.000 0.758
Pt 0.333 0.667 0.425
Pt 0.333 0.667 0.908
Pt 0.667 0.333 0.092
Pt 0.667 0.333 0.575
CELL_PARAMETERS angstrom
4.257 0.000 0.000
-2.128 3.686 0.000
0.000 0.000 20.397
```

---

Most stable to least stable, the ends of the list are *ii* and *i*.

---

*i*
VASP calculation (PBE) on a geometry-optimized Ac2DyPt structure. Values from VASP.

Properties
Theoretical density   10.25 g cm⁻³
Volume   32.87 Å³ per atom
Symmetry   P4/mmm, No. 123

Quantum ESPRESSO input file:
```
&SYSTEM
  ibrav = 0, nat = 4, ntyp = 3
/
ATOMIC_SPECIES
Ac 227.00 Ac.upf
Dy 162.50 Dy.upf
Pt 195.08 Pt.upf
ATOMIC_POSITIONS crystal
Ac 0.000 0.000 0.203
Ac 0.000 0.000 0.797
Dy 0.500 0.500 0.500
Pt 0.500 0.500 0.000
CELL_PARAMETERS angstrom
3.880 0.000 0.000
0.000 3.880 0.000
0.000 0.000 8.736
```

---

*ii*
VASP calculation (PBE) on a geometry-optimized Ac2DyPt structure. Values from VASP.

Properties
Theoretical density   8.60 g cm⁻³
Volume   39.20 Å³ per atom
Symmetry   R-3m, No. 166

Quantum ESPRESSO input file:
```
&SYSTEM
  ibrav = 0, nat = 12, ntyp = 3
/
ATOMIC_SPECIES
Ac 227.00 Ac.upf
Dy 162.50 Dy.upf
Pt 195.08 Pt.upf
ATOMIC_POSITIONS crystal
Ac 0.000 0.000 0.110
Ac 0.000 0.000 0.890
Ac 0.333 0.667 0.556
Ac 0.333 0.667 0.777
Ac 0.667 0.333 0.223
Ac 0.667 0.333 0.444
Dy 0.000 0.000 0.000
Dy 0.333 0.667 0.667
Dy 0.667 0.333 0.333
Pt 0.000 0.000 0.500
Pt 0.333 0.667 0.167
Pt 0.667 0.333 0.833
CELL_PARAMETERS angstrom
4.056 0.000 0.000
-2.028 3.513 0.000
0.000 0.000 33.011
```

---

Most stable to least stable, the ends of the list are *i* and *ii*.

---

*i*
VASP calculation (PBE) on a geometry-optimized AcDyPu structure. Values from VASP.

Properties
Theoretical density   10.19 g cm⁻³
Volume   34.41 Å³ per atom
Symmetry   P3m1, No. 156

Quantum ESPRESSO input file:
```
&SYSTEM
  ibrav = 0, nat = 3, ntyp = 3
/
ATOMIC_SPECIES
Ac 227.00 Ac.upf
Dy 162.50 Dy.upf
Pu 244.00 Pu.upf
ATOMIC_POSITIONS crystal
Ac 0.000 0.000 0.000
Dy 0.333 0.667 0.998
Pu 0.667 0.333 0.499
CELL_PARAMETERS angstrom
5.867 0.000 0.000
-2.933 5.081 0.000
0.000 0.000 3.463
```

---

*ii*
VASP calculation (PBE) on a geometry-optimized AcDyPu structure. Values from VASP.

Properties
Theoretical density   10.19 g cm⁻³
Volume   34.41 Å³ per atom
Symmetry   I4mm, No. 107

Quantum ESPRESSO input file:
```
&SYSTEM
  ibrav = 0, nat = 6, ntyp = 3
/
ATOMIC_SPECIES
Ac 227.00 Ac.upf
Dy 162.50 Dy.upf
Pu 244.00 Pu.upf
ATOMIC_POSITIONS crystal
Ac 0.000 0.000 0.000
Ac 0.500 0.500 0.500
Dy 0.000 0.000 0.677
Dy 0.500 0.500 0.177
Pu 0.000 0.000 0.328
Pu 0.500 0.500 0.828
CELL_PARAMETERS angstrom
3.698 0.000 0.000
0.000 3.698 0.000
0.000 0.000 15.095
```

---

*iii*
VASP calculation (PBE) on a geometry-optimized AcDyPu structure. Values from VASP.

Properties
Theoretical density   10.40 g cm⁻³
Volume   33.71 Å³ per atom
Symmetry   P2_1/c, No. 14

Quantum ESPRESSO input file:
```
&SYSTEM
  ibrav = 0, nat = 12, ntyp = 3
/
ATOMIC_SPECIES
Ac 227.00 Ac.upf
Dy 162.50 Dy.upf
Pu 244.00 Pu.upf
ATOMIC_POSITIONS crystal
Ac 0.041 0.001 0.171
Ac 0.041 0.499 0.671
Ac 0.959 0.501 0.329
Ac 0.959 0.999 0.829
Dy 0.309 0.501 0.170
Dy 0.309 0.999 0.670
Dy 0.691 0.001 0.330
Dy 0.691 0.499 0.830
Pu 0.500 0.249 0.000
Pu 0.500 0.251 0.500
Pu 0.500 0.749 0.500
Pu 0.500 0.751 0.000
CELL_PARAMETERS angstrom
7.242 0.000 0.000
0.000 6.238 0.000
-7.015 0.000 8.954
```

---

Most stable to least stable, the ends of the list are *ii* and *i*.